[1]
PmGeB | PBE | optimized geometry

The value obtained for the distance to the lowest polymorph of the same formula is 728 meV per atom. The calculation puts the formation energy at 0.249 eV/atom. The total magnetic moment is 0.00 μB per cell.

The structure belongs to space group I4mm (No. 107); the cell edges are 3.1879, 3.1879 and 10.2576 Å and the angles 90.00°, 90.00° and 90.00°. The inequivalent atoms are Pm at (0.0000, 0.0000, 0.0000), Ge at (0.0000, 0.0000, 0.2820) and B at (0.0000, 0.0000, 0.6968).

---

[2]
PmGeB | PBE | optimized geometry

The value obtained for the distance to the lowest polymorph of the same formula is 0 meV per atom. The calculation puts the formation energy at -0.479 eV/atom. The total magnetic moment is 0.00 μB per cell.

The structure belongs to space group P3m1 (No. 156); the cell edges are 3.6770, 3.6770 and 4.3429 Å and the angles 90.00°, 90.00° and 120.00°. The inequivalent atoms are Pm at (0.0000, 0.0000, 0.0000), Ge at (0.6667, 0.3333, 0.5005) and B at (0.3333, 0.6667, 0.4983).

---

[3]
Pm2GeB | PBE | optimized geometry

The value obtained for the distance to the lowest polymorph of the same formula is 67 meV per atom. The calculation puts the formation energy at -0.024 eV/atom. The total magnetic moment is 0.00 μB per cell.

The structure belongs to space group P4/mmm (No. 123); the cell edges are 4.7954, 4.7954 and 3.7675 Å and the angles 90.00°, 90.00° and 90.00°. The inequivalent atoms are Pm at (0.0000, 0.5000, 0.0000), Ge at (0.0000, 0.0000, 0.5000) and B at (0.5000, 0.5000, 0.5000).

---

- Which value of distance to the lowest polymorph of the same formula does entry 2 give?
  0 meV per atom